Sc4Pd | the Alexandria database | PBE-GGA | relaxed; Fermi-level density of states = 1.41 states/eV/atom; symmetry = No. 43; ΔE to the lowest computed polymorph = 0.00 eV/f.u.; M_tot = 0.00 μB per cell; ΔH_f (0 K) = -244 meV per atom; calculated total energy = -6.3476 eV/atom
1.0
0.000 5.945 3.322
5.896 0.000 3.322
5.896 5.945 0.000
Sc Pd
8 2
direct
0.164 0.272 0.984
0.266 0.670 0.086
0.272 0.164 0.580
0.299 0.701 0.450
0.670 0.266 0.978
0.700 0.800 0.549
0.701 0.299 0.550
0.800 0.700 0.951
0.110 0.110 0.390
0.860 0.860 0.140